Entry 1:
Tl2PdCl5 PBE relaxed; SG = P4/mmm; polymorph energy (0 for the lowest one) = 0 meV/atom; uncorrected energy = -25.2 eV/cell; formation energy (no corrections) = -0.761 eV/atom; D(E_F) = 1.3 states/eV/f.u.
1.0
6.9680 0.0000 0.0000
0.0000 6.9680 0.0000
0.0000 0.0000 4.9854
Tl Pd Cl
2 1 5
Direct
0.0000 0.5000 0.0000 Tl
0.5000 0.0000 0.0000 Tl
0.0000 0.0000 0.5000 Pd
0.0000 0.0000 0.0000 Cl
0.2391 0.2391 0.5000 Cl
0.2391 0.7609 0.5000 Cl
0.7609 0.2391 0.5000 Cl
0.7609 0.7609 0.5000 Cl

Entry 2:
ZrAgP2 PBE relaxed; SG = Cm; polymorph energy (0 for the lowest one) = 30 meV/atom; uncorrected energy = -23.9 eV/cell; DFT formation energy = -0.43 eV per atom; D(E_F) = 1.7 states/eV/f.u.
1.0
5.0208 -1.7786 0.0000
5.0208 1.7786 0.0000
-0.7241 0.0000 3.9478
Zr Ag P
1 1 2
Direct
0.0000 0.0000 0.0000 Zr
0.7666 0.7666 0.3992 Ag
0.2876 0.2876 0.9286 P
0.5319 0.5319 0.5123 P